Compound: Cr2Co2Ag
Source: Alexandria via LeMat-Bulk
Functional: PBE
Structure: optimized geometry

Output
Polymorph energy (0 for the lowest one) in eV per formula unit: 0.00
Energy of formation in eV per formula unit: 1.4

Cell and atoms, written as POSCAR:
```
Cr2Co2Ag
1.0
6.9600 0.0000 0.0000
0.0000 6.9600 0.0000
0.0000 0.0000 2.5598
Cr Co Ag
4 4 2
direct
0.1648 0.6648 0.5000
0.6648 0.8352 0.5000
0.8352 0.3352 0.5000
0.3352 0.1648 0.5000
0.3740 0.8740 0.0000
0.8740 0.6260 0.0000
0.6260 0.1260 0.0000
0.1260 0.3740 0.0000
0.0000 0.0000 0.0000
0.5000 0.5000 0.0000
```

=====

Compound: Be2NiW
Source: Alexandria via LeMat-Bulk
Functional: PBE
Structure: optimized geometry

Output
Polymorph energy (0 for the lowest one) in eV per formula unit: 1.07
Energy of formation in eV per formula unit: 0.4

Cell and atoms, written as POSCAR:
```
Be2NiW
1.0
-3.2463 -2.6370 -1.2881
-0.7430 -3.1547 2.9406
0.3588 4.3497 0.3201
Ni W Be
1 1 2
direct
0.5000 0.5000 0.0000
0.7500 0.2500 0.5000
0.0000 0.0000 0.0000
0.2500 0.7500 0.5000
```